A relaxed ReIrAu4 crystal, computed with PBE.

a b c (Å): 5.3436 5.3436 5.3436
angles (deg): 60.00 60.00 60.00
Fractional positions:
Re1 0.0000 0.0000 0.0000
Ir1 0.2500 0.2500 0.2500
Au1 0.1250 0.6250 0.6250
Au2 0.6250 0.1250 0.6250
Au3 0.6250 0.6250 0.1250
Au4 0.6250 0.6250 0.6250

Values from the calculation:
**Raw total energy**: -4.745 eV/atom
**Space group**: F-43m, No. 216
**Calculated volume**: 17.98 Å³/atom
**Energy of formation**: 0.992 eV per atom